Entry 1:
VASP calculation (GGA-PBE) on a geometry-optimized Li2SbBr structure.

Lattice parameters (Å, degrees): 5.2100 5.2100 5.2100 60.00 60.00 60.00
Fractional coordinates of all 4 atoms:
Li (0.0000, 0.0000, 0.0000)
Li (0.2500, 0.2500, 0.2500)
Sb (0.7500, 0.7500, 0.7500)
Br (0.5000, 0.5000, 0.5000)

For the total magnetic moment, the calculation gives 0.6 μB per formula unit. The formation energy without anion corrections comes out at -31.0 kJ/mol of formula units. As for the volume: 100.0 Å³ per cell. The energy relative to the lowest polymorph listed for this composition comes out at 0.792 eV/atom. As for the calculated total energy: -9.9 eV/cell.

***

Entry 2:
VASP calculation (GGA-PBE) on a geometry-optimized PaGeAu structure.

Lattice parameters (Å, degrees): 4.3235 4.3235 4.0519 90.00 90.00 120.00
Fractional coordinates of all 3 atoms:
Pa (0.0000, 0.0000, 0.0000)
Ge (0.3333, 0.6667, 0.4231)
Au (0.6667, 0.3333, 0.6142)

For the energy of formation, the calculation gives -0.45 eV per atom. For the total magnetic moment, the calculation gives 0.0 μB per formula unit. As for the volume: 65.6 Å³ per cell. As for the calculated total energy: -18.7 eV/cell.

***

Entry 3:
VASP calculation (GGA-PBE) on a geometry-optimized YInCu3 structure.

Lattice parameters (Å, degrees): 12.4446 12.4446 4.1481 90.00 90.00 163.22
Fractional coordinates of all 10 atoms:
Y (0.0762, 0.9238, 0.7500)
Y (0.9238, 0.0762, 0.2500)
In (0.2072, 0.7928, 0.2500)
In (0.7928, 0.2072, 0.7500)
Cu (0.3193, 0.6807, 0.2500)
Cu (0.3753, 0.6247, 0.7500)
Cu (0.4742, 0.5258, 0.7500)
Cu (0.5258, 0.4742, 0.2500)
Cu (0.6247, 0.3753, 0.2500)
Cu (0.6807, 0.3193, 0.7500)

For the energy of formation, the calculation gives -0.14 eV per atom. For the total magnetic moment, the calculation gives 0.0 μB per formula unit. As for the volume: 185.5 Å³ per cell. The energy relative to the lowest polymorph listed for this composition comes out at 0.000 eV/atom. As for the calculated total energy: -44.4 eV/cell.

***

Q: calculated total energy of number 3 (YInCu3)?
A: -44.4 eV/cell

***

Q: Among the records above, which one has the highest total magnetic moment?
A: Li2SbBr